(1)
Here is a relaxed TbPr4Sm7 crystal from Alexandria. Energies are from PBE.

Unit cell a=8.789 b=8.789 c=9.393 alpha=114.54 beta=114.54 gamma=40.37
Element x y z (fractional)
Tb  0.000  0.000  0.000
Pr  0.326  0.326  0.613
Pr  0.424  0.424  0.298
Pr  0.576  0.576  0.702
Pr  0.674  0.674  0.387
Sm  0.080  0.080  0.435
Sm  0.207  0.207  0.223
Sm  0.210  0.210  0.876
Sm  0.500  0.500  0.000
Sm  0.790  0.790  0.124
Sm  0.793  0.793  0.777
Sm  0.920  0.920  0.565

Properties
Its energy of formation is 214 meV per atom.


(2)
Here is a relaxed TlAgTe2 crystal from Alexandria. Energies are from PBE.

Unit cell a=3.255 b=4.250 c=8.577 alpha=90.00 beta=90.84 gamma=90.00
Element x y z (fractional)
Tl  0.000  0.000  0.000
Ag  0.500  0.000  0.500
Te  0.488  0.500  0.723
Te  0.512  0.500  0.277

Properties
The value obtained for the formation energy without anion corrections is -0.08 eV per atom.


(3)
Here is a relaxed CoPtSe4 crystal from Alexandria. Energies are from PBE.

Unit cell a=5.540 b=5.540 c=5.540 alpha=60.00 beta=60.00 gamma=60.00
Element x y z (fractional)
Co  0.000  0.000  0.000
Pt  0.750  0.750  0.750
Se  0.376  0.376  0.376
Se  0.376  0.376  0.873
Se  0.376  0.873  0.376
Se  0.873  0.376  0.376

Properties
The value obtained for the formation energy without anion corrections is 1.11 eV per atom.


(4)
Here is a relaxed ErTm2AgN crystal from Alexandria. Energies are from PBE.

Unit cell a=4.695 b=4.695 c=4.769 alpha=90.00 beta=90.00 gamma=90.00
Element x y z (fractional)
Er  0.000  0.000  0.000
Tm  0.000  0.500  0.500
Tm  0.500  0.000  0.500
Ag  0.500  0.500  0.000
N  0.000  0.000  0.500

Properties
The value obtained for the formation energy without anion corrections is -0.78 eV per atom.


(5)
Here is a relaxed CsIn3Br4 crystal from Alexandria. Energies are from PBE.

Unit cell a=13.721 b=9.675 c=4.877 alpha=90.00 beta=90.42 gamma=90.00
Element x y z (fractional)
Cs  0.000  0.000  0.000
Cs  0.500  0.500  0.000
In  0.000  0.500  0.000
In  0.250  0.250  0.500
In  0.250  0.750  0.500
In  0.500  0.000  0.000
In  0.750  0.250  0.500
In  0.750  0.750  0.500
Br  0.000  0.266  0.500
Br  0.000  0.734  0.500
Br  0.243  0.500  0.001
Br  0.257  0.000  0.999
Br  0.500  0.234  0.500
Br  0.500  0.766  0.500
Br  0.743  0.000  0.001
Br  0.757  0.500  0.999

Properties
The value obtained for the formation energy without anion corrections is -0.92 eV per atom.


(6)
Here is a relaxed KHfS2N crystal from Alexandria. Energies are from PBE.

Unit cell a=5.137 b=5.137 c=4.067 alpha=90.00 beta=90.00 gamma=90.00
Element x y z (fractional)
K  0.000  0.000  0.000
Hf  0.500  0.500  0.500
S  0.000  0.500  0.000
S  0.500  0.000  0.000
N  0.000  0.000  0.500

Properties
The value obtained for the formation energy without anion corrections is 1.57 eV per atom.


(7)
Here is a relaxed Zn2Sb3O8 crystal from Alexandria. Energies are from PBE.

Unit cell a=6.212 b=6.212 c=5.651 alpha=110.06 beta=110.06 gamma=64.92
Element x y z (fractional)
Zn  0.170  0.170  0.149
Zn  0.830  0.830  0.851
Sb  0.233  0.767  0.500
Sb  0.500  0.500  0.000
Sb  0.767  0.233  0.500
O  0.116  0.116  0.735
O  0.136  0.648  0.727
O  0.352  0.864  0.273
O  0.383  0.383  0.285
O  0.617  0.617  0.715
O  0.648  0.136  0.727
O  0.864  0.352  0.273
O  0.884  0.884  0.265

Properties
The value obtained for the formation energy without anion corrections is -1.20 eV per atom.


(8)
Here is a relaxed Ca2La5Pr6 crystal from Alexandria. Energies are from PBE.

Unit cell a=12.387 b=21.302 c=3.686 alpha=90.00 beta=90.00 gamma=90.00
Element x y z (fractional)
Ca  0.168  0.214  0.000
Ca  0.332  0.714  0.000
Ca  0.668  0.286  0.000
Ca  0.832  0.786  0.000
La  0.000  0.500  0.500
La  0.092  0.780  0.500
La  0.210  0.050  0.500
La  0.290  0.550  0.500
La  0.408  0.280  0.500
La  0.500  0.000  0.500
La  0.592  0.720  0.500
La  0.710  0.450  0.500
La  0.790  0.950  0.500
La  0.908  0.220  0.500
Pr  0.052  0.923  0.000
Pr  0.070  0.638  0.000
Pr  0.188  0.375  0.500
Pr  0.312  0.875  0.500
Pr  0.430  0.138  0.000
Pr  0.448  0.423  0.000
Pr  0.552  0.577  0.000
Pr  0.570  0.862  0.000
Pr  0.688  0.125  0.500
Pr  0.812  0.625  0.500
Pr  0.930  0.362  0.000
Pr  0.948  0.077  0.000

Properties
Its energy of formation is 103 meV per atom.


(9)
Here is a relaxed CrMoBr2 crystal from Alexandria. Energies are from PBE.

Unit cell a=3.919 b=3.312 c=7.795 alpha=90.00 beta=103.86 gamma=90.00
Element x y z (fractional)
Cr  0.000  0.000  0.000
Mo  0.581  0.500  0.954
Br  0.134  0.000  0.707
Br  0.375  0.500  0.242

Properties
The value obtained for the formation energy without anion corrections is 0.21 eV per atom.


(10)
Here is a relaxed Cs2Ca2PaS6 crystal from Alexandria. Energies are from PBE.

Unit cell a=7.167 b=7.167 c=8.527 alpha=98.58 beta=98.58 gamma=119.67
Element x y z (fractional)
Cs  0.173  0.827  0.000
Cs  0.827  0.173  0.000
Ca  0.336  0.664  0.500
Ca  0.664  0.336  0.500
Pa  0.000  0.000  0.500
S  0.060  0.374  0.675
S  0.248  0.248  0.323
S  0.374  0.060  0.675
S  0.626  0.940  0.325
S  0.752  0.752  0.677
S  0.940  0.626  0.325

Properties
The value obtained for the formation energy without anion corrections is -1.59 eV per atom.


(11)
Here is a relaxed Cs3USe4 crystal from Alexandria. Energies are from PBE.

Unit cell a=8.144 b=11.601 c=8.659 alpha=90.00 beta=90.00 gamma=90.00
Element x y z (fractional)
Cs  0.000  0.000  0.000
Cs  0.000  0.234  0.459
Cs  0.000  0.766  0.459
Cs  0.500  0.266  0.959
Cs  0.500  0.500  0.500
Cs  0.500  0.734  0.959
U  0.000  0.500  0.000
U  0.500  0.000  0.500
Se  0.000  0.300  0.857
Se  0.000  0.700  0.857
Se  0.248  0.000  0.683
Se  0.252  0.500  0.183
Se  0.500  0.200  0.357
Se  0.500  0.800  0.357
Se  0.748  0.500  0.183
Se  0.752  0.000  0.683

Properties
The value obtained for the formation energy without anion corrections is -1.02 eV per atom.


(12)
Here is a relaxed LaCu2P crystal from Alexandria. Energies are from PBE.

Unit cell a=4.110 b=4.110 c=4.642 alpha=90.00 beta=90.00 gamma=90.00
Element x y z (fractional)
La  0.000  0.000  0.000
Cu  0.000  0.500  0.500
Cu  0.500  0.000  0.500
P  0.500  0.500  0.000

Properties
Its energy of formation is -199 meV per atom.


The records above yield total magnetization values of 0.4, 0.0, 2.6, 0.0, 0.0, 1.2, 0.0, 0.0, 0.2, 0.0, 1.0, 0.0 μB per formula unit, respectively.